No. 1
A relaxed structure of KRb2Hg16, computed with GGA-PBE.

Geometry as POSCAR:
```
KRb2Hg16
1.0
5.4763 3.1618 5.7013
-5.4763 3.1618 5.7013
0.0000 -6.3235 5.7013
K Rb Hg
1 2 16
direct
0.0000 0.0000 0.0000
0.2509 0.2509 0.2509
0.5753 0.5753 0.5753
0.1001 0.5436 0.5436
0.2212 0.6155 0.9150
0.2212 0.9150 0.6155
0.2719 0.2719 0.7819
0.2719 0.7819 0.2719
0.4326 0.9101 0.9101
0.5436 0.1001 0.5436
0.5436 0.5436 0.1001
0.6155 0.2212 0.9150
0.6155 0.9150 0.2212
0.7819 0.2719 0.2719
0.7985 0.7985 0.7985
0.9101 0.4326 0.9101
0.9101 0.9101 0.4326
0.9150 0.2212 0.6155
0.9150 0.6155 0.2212
```

Calculated values
* SG: R3m (160)
* energy: -0.5649 eV/atom

---

No. 2
A relaxed structure of K2Na6Tl, computed with GGA-PBE.

Geometry as POSCAR:
```
K2Na6Tl
1.0
6.4611 -3.8020 0.0000
6.4611 3.8020 0.0000
-1.7356 0.0000 7.6186
K Na Tl
2 6 1
direct
0.1528 0.1528 0.3675
0.8472 0.8472 0.6325
0.1217 0.6314 0.1776
0.3686 0.8783 0.8224
0.3754 0.3754 0.8063
0.6246 0.6246 0.1937
0.6314 0.1217 0.1776
0.8783 0.3686 0.8224
0.5000 0.5000 0.5000
```

Calculated values
* SG: C2/m (12)
* energy: -1.3973 eV/atom

---

No. 3
A relaxed structure of TbTl2Hg, computed with GGA-PBE.

Geometry as POSCAR:
```
TbTl2Hg
1.0
4.0189 0.0000 0.0000
0.0000 4.0189 0.0000
0.0000 0.0000 6.8228
Tb Tl Hg
1 2 1
direct
0.0000 0.0000 0.0000
0.5000 0.5000 0.2552
0.5000 0.5000 0.7448
0.0000 0.0000 0.5000
```

Calculated values
* SG: P4/mmm (123)
* energy: -2.5244 eV/atom

---

No. 4
A relaxed structure of CsPd2Pb, computed with GGA-PBE.

Geometry as POSCAR:
```
CsPd2Pb
1.0
2.3852 1.3771 6.5149
-2.3852 1.3771 6.5149
0.0000 -2.7542 6.5149
Cs Pd Pb
1 2 1
direct
0.0000 0.0000 0.0000
0.1835 0.1835 0.1835
0.8165 0.8165 0.8165
0.5000 0.5000 0.5000
```

Calculated values
* SG: R-3m (166)
* energy: -3.9397 eV/atom

---

No. 5
A relaxed structure of Rb3InSb2, computed with GGA-PBE.

Geometry as POSCAR:
```
Rb3InSb2
1.0
-4.4408 7.9258 3.8510
4.4408 -7.9258 3.8510
4.4408 7.9258 -3.8510
Rb In Sb
6 2 4
direct
0.1774 0.6927 0.8701
0.2500 0.2500 0.0000
0.3226 0.1927 0.5154
0.6774 0.8073 0.4846
0.7500 0.7500 0.0000
0.8226 0.3073 0.1299
0.2500 0.7500 0.5000
0.7500 0.2500 0.5000
0.0950 0.3113 0.4063
0.4050 0.8113 0.2163
0.5950 0.1887 0.7837
0.9050 0.6887 0.5937
```

Calculated values
* SG: Ibam (72)
* formation energy without anion corrections: -413 meV/atom

---

No. 6
A relaxed structure of LaYRe2, computed with GGA-PBE.

Geometry as POSCAR:
```
LaYRe2
1.0
3.1061 0.0000 0.0000
0.0000 4.5936 0.0000
-1.0670 0.0000 5.8671
La Y Re
1 1 2
direct
0.0000 0.0000 0.0000
0.5000 0.0000 0.5000
0.2062 0.5000 0.7931
0.7938 0.5000 0.2069
```

Calculated values
* SG: P2/m (10)
* energy: -8.4657 eV/atom

---

No. 7
A relaxed structure of Nd4CoOsBr2, computed with GGA-PBE.

Geometry as POSCAR:
```
Nd4CoOsBr2
1.0
7.0030 0.0000 0.0000
0.0000 4.0626 0.0000
-2.3411 0.0000 7.8672
Nd Co Os Br
4 1 1 2
direct
0.2284 0.0000 0.1940
0.2648 0.5000 0.8018
0.7352 0.5000 0.1982
0.7716 0.0000 0.8060
0.0000 0.5000 0.0000
0.5000 0.0000 0.0000
0.0000 0.0000 0.5000
0.5000 0.5000 0.5000
```

Calculated values
* SG: P2/m (10)
* formation energy without anion corrections: -678 meV/atom

---

No. 8
A relaxed structure of LaPr3Ho2Er6, computed with GGA-PBE.

Geometry as POSCAR:
```
LaPr3Ho2Er6
1.0
3.1091 -5.3837 0.0000
3.1091 5.3837 0.0000
-2.0654 0.0000 11.6224
La Pr Ho Er
1 3 2 6
direct
0.0000 0.0000 0.0000
0.1670 0.8330 0.5000
0.5000 0.5000 0.5000
0.8330 0.1670 0.5000
0.3332 0.6668 0.0000
0.6668 0.3332 0.0000
0.0828 0.4173 0.2480
0.2518 0.2518 0.7520
0.4173 0.0828 0.2480
0.5827 0.9172 0.7520
0.7482 0.7482 0.2480
0.9172 0.5827 0.7520
```

Calculated values
* SG: C2/m (12)
* energy: -4.6281 eV/atom